Here is a relaxed LaMg2Hg crystal from Alexandria via LeMat-Bulk. Energies are from PBEsol.

a = 4.3690 Å, b = 4.7200 Å, c = 5.0281 Å
α = 90.00°, β = 90.00°, γ = 90.00°
Sites, in units of the cell vectors:
Hg  0.5000  0.0000  0.5000
La  0.0000  0.5000  0.5000
Mg  0.0000  0.0000  0.0000
Mg  0.5000  0.5000  0.0000

Calculated formation energy   -0.231 eV/atom
Size of the total moment   0.0 Bohr magnetons per cell
Final energy   -2.5681 eV/atom
Volume   25.92 A^3/atom
Space-group type   No. 47